(1)
# CaAsCl6, optimized geometry, DFT PBE
data_CaAsCl6
_chemical_formula_sum 'Ca3 As3 Cl18'
_symmetry_space_group_name_H-M 'R -3'
_symmetry_Int_Tables_number 148
_symmetry_space_group_name_Hall '-R 3'
_cell_length_a 6.4883
_cell_length_b 6.4883
_cell_length_c 17.6728
_cell_angle_alpha 90.00
_cell_angle_beta 90.00
_cell_angle_gamma 120.00
loop_
_atom_site_label
_atom_site_type_symbol
_atom_site_fract_x
_atom_site_fract_y
_atom_site_fract_z
_atom_site_occupancy
Ca1 Ca 0.0000 0.0000 0.0000 1
As1 As 0.0000 0.0000 0.5000 1
Cl1 Cl 0.0114 0.7007 0.4219 1
# - Formation energy without anion corrections: -1.1119 eV per atom



(2)
# CaAsCl2, optimized geometry, DFT PBE
data_CaAsCl2
_chemical_formula_sum 'Ca1 As1 Cl2'
_symmetry_space_group_name_H-M 'P 1 m 1'
_symmetry_Int_Tables_number 6
_cell_length_a 3.727
_cell_length_b 5.548
_cell_length_c 5.068
_cell_angle_alpha 90.00
_cell_angle_beta 111.43
_cell_angle_gamma 90.00
loop_
_symmetry_equiv_pos_as_xyz
'x,y,z'
'x,-y,z'
loop_
_atom_site_label
_atom_site_type_symbol
_atom_site_fract_x
_atom_site_fract_y
_atom_site_fract_z
_atom_site_occupancy
Ca1 Ca 0.000 0.000 0.000 1
As1 As 0.591 0.500 0.177 1
Cl1 Cl 0.293 0.000 0.584 1
Cl2 Cl 0.831 0.500 0.662 1
# - Formation energy without anion corrections: -1.1152 eV per atom
# - E above lowest polymorph: 0.27 eV/f.u.



(3)
# Ca2As2Cl, optimized geometry, DFT PBE
data_Ca2As2Cl
_chemical_formula_sum 'Ca4 As4 Cl2'
_symmetry_space_group_name_H-M 'P 4/m b m'
_symmetry_Int_Tables_number 127
_symmetry_space_group_name_Hall '-P 4 2ab'
_cell_length_a 7.724
_cell_length_b 7.724
_cell_length_c 4.251
_cell_angle_alpha 90.00
_cell_angle_beta 90.00
_cell_angle_gamma 90.00
loop_
_atom_site_label
_atom_site_type_symbol
_atom_site_fract_x
_atom_site_fract_y
_atom_site_fract_z
_atom_site_occupancy
Ca1 Ca 0.181 0.319 0.000 1
As1 As 0.110 0.610 0.500 1
Cl1 Cl 0.000 0.000 0.000 1
# - Formation energy without anion corrections: -1.2344 eV per atom



(4)
# CaAsCl2, optimized geometry, DFT PBE
data_CaAsCl2
_chemical_formula_sum 'Ca4 As4 Cl8'
_symmetry_space_group_name_H-M 'I -4 2 d'
_symmetry_Int_Tables_number 122
_symmetry_space_group_name_Hall 'I -4 2bw'
_cell_length_a 7.905
_cell_length_b 7.905
_cell_length_c 6.628
_cell_angle_alpha 90.00
_cell_angle_beta 90.00
_cell_angle_gamma 90.00
loop_
_atom_site_label
_atom_site_type_symbol
_atom_site_fract_x
_atom_site_fract_y
_atom_site_fract_z
_atom_site_occupancy
Ca1 Ca 0.000 0.000 0.000 1
As1 As 0.000 0.000 0.500 1
Cl1 Cl 0.218 0.750 0.125 1
# - Formation energy without anion corrections: -0.8518 eV per atom
# - E above lowest polymorph: 1.32 eV/f.u.



(5)
# CaAsCl, optimized geometry, DFT PBE
data_CaAsCl
_chemical_formula_sum 'Ca2 As2 Cl2'
_symmetry_space_group_name_H-M 'I 4 m m'
_symmetry_Int_Tables_number 107
_symmetry_space_group_name_Hall 'I 4 -2'
_cell_length_a 3.310
_cell_length_b 3.310
_cell_length_c 15.232
_cell_angle_alpha 90.00
_cell_angle_beta 90.00
_cell_angle_gamma 90.00
loop_
_atom_site_label
_atom_site_type_symbol
_atom_site_fract_x
_atom_site_fract_y
_atom_site_fract_z
_atom_site_occupancy
Ca1 Ca 0.000 0.000 0.000 1
As1 As 0.000 0.000 0.354 1
Cl1 Cl 0.000 0.000 0.598 1
# - Formation energy without anion corrections: -1.0751 eV per atom
# - E above lowest polymorph: 0.00 eV/f.u.



(6)
# CaAsCl3, optimized geometry, DFT PBE
data_CaAsCl3
_chemical_formula_sum 'Ca1 As1 Cl3'
_symmetry_space_group_name_H-M 'P m -3 m'
_symmetry_Int_Tables_number 221
_symmetry_space_group_name_Hall '-P 4 2 3'
_cell_length_a 5.344
_cell_length_b 5.344
_cell_length_c 5.344
_cell_angle_alpha 90.00
_cell_angle_beta 90.00
_cell_angle_gamma 90.00
loop_
_atom_site_label
_atom_site_type_symbol
_atom_site_fract_x
_atom_site_fract_y
_atom_site_fract_z
_atom_site_occupancy
Ca1 Ca 0.000 0.000 0.000 1
As1 As 0.500 0.500 0.500 1
Cl1 Cl 0.000 0.000 0.500 1
# - Formation energy without anion corrections: -0.8913 eV per atom
# - E above lowest polymorph: 0.00 eV/f.u.



(7)
# CaAsCl, optimized geometry, DFT PBE
data_CaAsCl
_chemical_formula_sum 'Ca1 As1 Cl1'
_symmetry_space_group_name_H-M 'P 3 m 1'
_symmetry_Int_Tables_number 156
_cell_length_a 3.6466
_cell_length_b 3.6466
_cell_length_c 7.9839
_cell_angle_alpha 90.00
_cell_angle_beta 90.00
_cell_angle_gamma 120.00
loop_
_symmetry_equiv_pos_as_xyz
'x,y,z'
'-y,x-y,z'
'-x+y,-x,z'
'-y,-x,z'
'-x+y,y,z'
'x,x-y,z'
loop_
_atom_site_label
_atom_site_type_symbol
_atom_site_fract_x
_atom_site_fract_y
_atom_site_fract_z
_atom_site_occupancy
Ca1 Ca 0.0000 0.0000 0.0000 1
As1 As 0.6667 0.3333 0.7083 1
Cl1 Cl 0.3333 0.6667 0.2038 1
# - Formation energy without anion corrections: -0.9764 eV per atom
# - E above lowest polymorph: 0.30 eV/f.u.



(8)
# CaAsCl2, optimized geometry, DFT PBE
data_CaAsCl2
_chemical_formula_sum 'Ca3 As3 Cl6'
_symmetry_space_group_name_H-M 'R -3 m'
_symmetry_Int_Tables_number 166
_symmetry_space_group_name_Hall '-R 3 2"'
_cell_length_a 3.7675
_cell_length_b 3.7675
_cell_length_c 35.0375
_cell_angle_alpha 90.00
_cell_angle_beta 90.00
_cell_angle_gamma 120.00
loop_
_atom_site_label
_atom_site_type_symbol
_atom_site_fract_x
_atom_site_fract_y
_atom_site_fract_z
_atom_site_occupancy
Ca1 Ca 0.0000 0.0000 0.0000 1
As1 As 0.0000 0.0000 0.5000 1
Cl1 Cl 0.0000 0.0000 0.3785 1
# - Formation energy without anion corrections: -1.1131 eV per atom
# - E above lowest polymorph: 0.27 eV/f.u.



(9)
# CaAsCl, optimized geometry, DFT PBE
data_CaAsCl
_chemical_formula_sum 'Ca4 As4 Cl4'
_symmetry_space_group_name_H-M 'F -4 3 m'
_symmetry_Int_Tables_number 216
_symmetry_space_group_name_Hall 'F -4 2 3'
_cell_length_a 7.053
_cell_length_b 7.053
_cell_length_c 7.053
_cell_angle_alpha 90.00
_cell_angle_beta 90.00
_cell_angle_gamma 90.00
loop_
_atom_site_label
_atom_site_type_symbol
_atom_site_fract_x
_atom_site_fract_y
_atom_site_fract_z
_atom_site_occupancy
Ca1 Ca 0.000 0.000 0.000 1
As1 As 0.250 0.250 0.750 1
Cl1 Cl 0.250 0.250 0.250 1
# - Formation energy without anion corrections: -0.6882 eV per atom
# - E above lowest polymorph: 1.16 eV/f.u.



(10)
# CaAsCl2, optimized geometry, DFT PBE
data_CaAsCl2
_chemical_formula_sum 'Ca3 As3 Cl6'
_symmetry_space_group_name_H-M 'R -3 m'
_symmetry_Int_Tables_number 166
_symmetry_space_group_name_Hall '-R 3 2"'
_cell_length_a 3.5825
_cell_length_b 3.5825
_cell_length_c 29.0570
_cell_angle_alpha 90.00
_cell_angle_beta 90.00
_cell_angle_gamma 120.00
loop_
_atom_site_label
_atom_site_type_symbol
_atom_site_fract_x
_atom_site_fract_y
_atom_site_fract_z
_atom_site_occupancy
Ca1 Ca 0.0000 0.0000 0.0000 1
As1 As 0.0000 0.0000 0.5000 1
Cl1 Cl 0.0000 0.0000 0.0887 1
# - Formation energy without anion corrections: -0.2684 eV per atom
# - E above lowest polymorph: 3.65 eV/f.u.



(11)
# CaAsCl, optimized geometry, DFT PBE
data_CaAsCl
_chemical_formula_sum 'Ca1 As1 Cl1'
_symmetry_space_group_name_H-M 'P -6 m 2'
_symmetry_Int_Tables_number 187
_symmetry_space_group_name_Hall 'P -6 2'
_cell_length_a 4.8113
_cell_length_b 4.8113
_cell_length_c 3.7090
_cell_angle_alpha 90.00
_cell_angle_beta 90.00
_cell_angle_gamma 120.00
loop_
_atom_site_label
_atom_site_type_symbol
_atom_site_fract_x
_atom_site_fract_y
_atom_site_fract_z
_atom_site_occupancy
Ca1 Ca 0.0000 0.0000 0.0000 1
As1 As 0.3333 0.6667 0.5000 1
Cl1 Cl 0.6667 0.3333 0.0000 1
# - Formation energy without anion corrections: -0.7384 eV per atom
# - E above lowest polymorph: 1.01 eV/f.u.



(12)
# CaAsCl2, optimized geometry, DFT PBE
data_CaAsCl2
_chemical_formula_sum 'Ca1 As1 Cl2'
_symmetry_space_group_name_H-M 'P 4 m m'
_symmetry_Int_Tables_number 99
_cell_length_a 4.000
_cell_length_b 4.000
_cell_length_c 6.335
_cell_angle_alpha 90.00
_cell_angle_beta 90.00
_cell_angle_gamma 90.00
loop_
_symmetry_equiv_pos_as_xyz
'x,y,z'
'-y,x,z'
'-x,-y,z'
'y,-x,z'
'-x,y,z'
'y,x,z'
'x,-y,z'
'-y,-x,z'
loop_
_atom_site_label
_atom_site_type_symbol
_atom_site_fract_x
_atom_site_fract_y
_atom_site_fract_z
_atom_site_occupancy
Ca1 Ca 0.000 0.000 0.000 1
As1 As 0.500 0.500 0.754 1
Cl1 Cl 0.000 0.000 0.420 1
Cl2 Cl 0.500 0.500 0.132 1
# - Formation energy without anion corrections: -0.8981 eV per atom
# - E above lowest polymorph: 1.13 eV/f.u.



(13)
# CaAs2Cl8, optimized geometry, DFT PBE
data_CaAs2Cl8
_chemical_formula_sum 'Ca2 As4 Cl16'
_symmetry_space_group_name_H-M 'C 1 2/m 1'
_symmetry_Int_Tables_number 12
_cell_length_a 12.580
_cell_length_b 9.551
_cell_length_c 7.359
_cell_angle_alpha 90.00
_cell_angle_beta 108.36
_cell_angle_gamma 90.00
loop_
_symmetry_equiv_pos_as_xyz
'x,y,z'
'-x,-y,-z'
'-x,y,-z'
'x,-y,z'
'x+1/2,y+1/2,z'
'-x+1/2,-y+1/2,-z'
'-x+1/2,y+1/2,-z'
'x+1/2,-y+1/2,z'
loop_
_atom_site_label
_atom_site_type_symbol
_atom_site_fract_x
_atom_site_fract_y
_atom_site_fract_z
_atom_site_occupancy
Ca1 Ca 0.000 0.000 0.000 1
As1 As 0.152 0.000 0.629 1
Cl1 Cl 0.098 0.184 0.798 1
Cl2 Cl 0.170 0.500 0.213 1
Cl3 Cl 0.191 0.000 0.298 1
# - Formation energy without anion corrections: -1.0591 eV per atom